No. 1
Computed, not measured: an optimized crystal structure of CaSmY2Sb4 at the PBE-GGA level of DFT.

Calculated values
Uncorrected energy   -5.580 eV per atom
DOS(E_F)   3.559 states/eV/cell

a b c (Å): 7.7015 4.4175 7.7360
angles (deg): 90.00 109.14 90.00
With the nearest neighbours (Å) after each atom.
Element x y z (fractional)
Ca1 0.0000 0.0000 0.0000  6 Sb 3.18-3.19
Sm1 0.5000 0.5000 0.0000  6 Sb 3.17
Y1 0.0000 0.5000 0.5000  6 Sb 3.12
Y2 0.5000 0.0000 0.5000  6 Sb 3.10-3.11
Sb1 0.2492 0.0000 0.7438  3 Y 3.11-3.12, 2 Sm 3.17, 1 Ca 3.18
Sb2 0.2547 0.5000 0.2584  3 Y 3.10-3.12, 1 Sm 3.17, 2 Ca 3.19
Sb3 0.7453 0.5000 0.7416  3 Y 3.10-3.12, 1 Sm 3.17, 2 Ca 3.19
Sb4 0.7508 0.0000 0.2562  3 Y 3.11-3.12, 2 Sm 3.17, 1 Ca 3.18

No. 2
Computed, not measured: an optimized crystal structure of Tb4Y4Ho3 at the PBE-GGA level of DFT.

Calculated values
Distance to the lowest polymorph of the same formula   0.0 kJ per mole of atoms
DOS(E_F)   20.551 states/eV/cell

a b c (Å): 18.0743 18.0743 5.6012
angles (deg): 98.90 98.90 11.16
With the nearest neighbours (Å) after each atom.
Element x y z (fractional)
Tb1 0.0455 0.0455 0.0450  2 Y 3.22, 3 Tb 3.24-3.52
Tb2 0.1801 0.1801 0.6797  5 Y 3.20-3.56, 2 Tb 3.52
Tb3 0.8199 0.8199 0.3203  5 Y 3.20-3.56, 2 Tb 3.52
Tb4 0.9545 0.9545 0.9550  2 Y 3.22, 3 Tb 3.24-3.52
Y1 0.0901 0.0901 0.5895  3 Tb 3.20-3.22, 2 Y 3.52
Y2 0.2329 0.2329 0.2327  4 Tb 3.37-3.56, 6 Y 3.52
Y3 0.7671 0.7671 0.7673  4 Tb 3.37-3.56, 6 Y 3.52
Y4 0.9099 0.9099 0.4105  3 Tb 3.20-3.22, 2 Y 3.52
Ho1 0.3636 0.3636 0.8638  2 Ho 3.52, 6 Tb 3.65-3.68, 6 Y 3.69-3.85
Ho2 0.5000 0.5000 0.5000  2 Ho 3.52, 4 Y 3.65, 8 Tb 3.68
Ho3 0.6364 0.6364 0.1362  2 Ho 3.52, 6 Tb 3.65-3.68, 6 Y 3.69-3.85

No. 3
Computed, not measured: an optimized crystal structure of Hf2AlPO at the PBE-GGA level of DFT.

Calculated values
Uncorrected energy   -7.626 eV per atom
DOS(E_F)   5.031 states/eV/cell

a b c (Å): 4.5682 4.5682 3.6474
angles (deg): 90.00 90.00 90.00
With the nearest neighbours (Å) after each atom.
Element x y z (fractional)
Hf1 0.0000 0.5000 0.0000  2 O 2.28
Hf2 0.5000 0.0000 0.0000  2 O 2.28
Al1 0.0000 0.0000 0.5000  2 O 1.82
P1 0.5000 0.5000 0.5000  8 Hf 2.92, 4 Al 3.23
O1 0.0000 0.0000 0.0000  2 Al 1.82

Please write out number 1 again, unchanged.
Computed, not measured: an optimized crystal structure of CaSmY2Sb4 at the PBE-GGA level of DFT.

Calculated values
Uncorrected energy   -5.580 eV per atom
DOS(E_F)   3.559 states/eV/cell

a b c (Å): 7.7015 4.4175 7.7360
angles (deg): 90.00 109.14 90.00
With the nearest neighbours (Å) after each atom.
Element x y z (fractional)
Ca1 0.0000 0.0000 0.0000  6 Sb 3.18-3.19
Sm1 0.5000 0.5000 0.0000  6 Sb 3.17
Y1 0.0000 0.5000 0.5000  6 Sb 3.12
Y2 0.5000 0.0000 0.5000  6 Sb 3.10-3.11
Sb1 0.2492 0.0000 0.7438  3 Y 3.11-3.12, 2 Sm 3.17, 1 Ca 3.18
Sb2 0.2547 0.5000 0.2584  3 Y 3.10-3.12, 1 Sm 3.17, 2 Ca 3.19
Sb3 0.7453 0.5000 0.7416  3 Y 3.10-3.12, 1 Sm 3.17, 2 Ca 3.19
Sb4 0.7508 0.0000 0.2562  3 Y 3.11-3.12, 2 Sm 3.17, 1 Ca 3.18

Which value of DOS(E_F) does entry 3 give?
5.031 states/eV/cell